(1)
A plane-wave DFT calculation with PBE-GGA was carried out for an optimized crystal structure of Ce2B10Os.

Geometry as extended XYZ:
```
26
Lattice="-2.9179 2.1923 -2.0613 -1.2858 -4.6348 -3.1092 -7.7903 -3.0561 7.7774" Properties=species:S:1:pos:R:3 pbc="T T T"
B -1.5808 -0.8639 1.3189
B -6.0555 -2.5178 3.3287
B -3.1090 -3.5286 0.6481
B -2.0085 -2.3061 0.3906
B -4.3783 -2.2066 3.8510
B -7.0675 -5.3848 4.2776
B -9.9047 -4.7649 2.9951
B -2.0894 -0.7338 -0.3882
B -8.7433 -5.6374 3.8156
B -7.4953 -6.8270 3.3493
B -5.9385 -2.9808 -0.7218
B -3.4747 -4.9465 -0.3421
B -8.2545 -5.7924 5.5244
B -3.2507 0.1388 -1.2087
B -0.8216 -1.8985 -0.8561
B -7.2169 -1.6453 2.5083
B -4.6978 -5.4843 0.8173
B -5.6014 -2.7444 5.0103
B -4.7771 -3.8533 0.0986
B -5.9671 -4.1623 4.0201
Ce -3.4033 -2.6368 -2.2485
Ce -7.3779 -4.4512 1.4481
Ce -4.6161 -1.0474 1.1588
Ce -8.5907 -2.8618 4.8554
Os -4.5380 -3.8455 2.3341
Os 0.0000 0.0000 0.0000
```

Calculated values
Uncorrected energy ... -193.85 eV per cell
Formation energy from the elements ... -7.052 eV per formula unit
M_tot ... 0.6 μB/f.u.

(2)
A plane-wave DFT calculation with PBE-GGA was carried out for an optimized crystal structure of Ce2B4Os3.

Geometry as extended XYZ:
```
9
Lattice="5.4671 0.0093 0.0000 -2.5326 4.8451 0.0000 -1.4672 -2.4272 4.8048" Properties=species:S:1:pos:R:3 pbc="T T T"
Os 2.7335 0.0046 0.0000
Os -1.2663 2.4225 0.0000
Os 0.0000 0.0000 0.0000
B 3.7711 1.0345 1.5940
B -0.8367 3.8199 1.5940
B 2.3039 -1.3927 3.2108
B -2.3039 1.3927 3.2108
Ce 1.4672 2.4272 1.4437
Ce 0.0000 0.0000 3.3610
```

Calculated values
Uncorrected energy ... -72.23 eV per cell
Formation energy from the elements ... 0.037 eV per formula unit
M_tot ... 0.0 μB/f.u.

(3)
A plane-wave DFT calculation with PBE-GGA was carried out for an optimized crystal structure of CeB2Os2.

Geometry as extended XYZ:
```
10
Lattice="-1.4245 3.4095 1.3731 -3.3733 -1.7975 0.9639 5.7158 -2.6844 6.9368" Properties=species:S:1:pos:R:3 pbc="T T T"
Ce 2.5218 -1.4282 6.1624
Ce -1.6038 0.3557 3.1113
Os 1.3355 -0.7563 3.2634
Os -0.7122 1.7048 0.6865
Os -0.4175 -0.3161 6.0103
Os -1.6867 -0.8988 0.4819
B 0.4877 -0.2762 1.1917
B 0.9462 0.7656 4.7392
B -0.0282 -1.8380 4.5346
B 0.4303 -0.7962 8.0820
```

Calculated values
Uncorrected energy ... -85.54 eV per cell
Formation energy from the elements ... -1.021 eV per formula unit
M_tot ... 0.0 μB/f.u.

(4)
A plane-wave DFT calculation with PBE-GGA was carried out for an optimized crystal structure of CeB4Os.

Geometry as extended XYZ:
```
24
Lattice="3.6211 0.0000 0.0000 0.0000 6.0196 0.0000 0.0000 0.0000 11.6740" Properties=species:S:1:pos:R:3 pbc="T T T"
B 1.8106 4.7299 2.1744
B 1.8106 5.1913 0.3699
B 1.8106 5.8524 3.6169
B 1.8106 0.6752 6.3695
B 1.8106 1.2896 9.4996
B 1.8106 3.1769 9.4539
B 1.8106 0.8282 11.3041
B 1.8106 2.8426 2.2201
B 1.8106 2.3345 0.5325
B 1.8106 5.3443 5.3045
B 1.8106 3.8380 6.2069
B 1.8106 3.6850 11.1415
B 1.8106 2.1815 5.4671
B 1.8106 4.2994 8.0114
B 1.8106 0.1672 8.0571
B 1.8106 1.7202 3.6626
Ce 0.0000 0.7705 1.7473
Ce 0.0000 3.7802 4.0897
Ce 0.0000 5.2491 9.9266
Ce 0.0000 2.2393 7.5843
Os 0.0000 5.1779 6.9371
Os 0.0000 0.8417 4.7369
Os 0.0000 2.1681 10.5739
Os 0.0000 3.8514 1.1001
```

Calculated values
Uncorrected energy ... -188.91 eV per cell
Formation energy from the elements ... -3.355 eV per formula unit
M_tot ... 0.0 μB/f.u.

(5)
A plane-wave DFT calculation with PBE-GGA was carried out for an optimized crystal structure of Ce3B8Os3.

Geometry as extended XYZ:
```
14
Lattice="3.1198 0.0000 0.0000 1.5599 7.4263 -0.6320 1.5599 1.4137 7.3179" Properties=species:S:1:pos:R:3 pbc="T T T"
B 1.5599 3.9622 0.7284
B 4.6797 4.8778 5.9574
B 1.5599 1.7797 3.6142
B 3.1198 7.2787 2.3348
B 4.6797 7.0604 3.0716
B 3.1198 4.6118 0.3177
B 3.1198 1.5613 4.3511
B 3.1198 4.2283 6.3681
Os 1.5599 6.0942 1.1293
Os 1.5599 0.0000 0.0000
Os 1.5599 2.7458 5.5566
Ce 3.1198 6.9752 5.2755
Ce 3.1198 4.4200 3.3429
Ce 3.1198 1.8648 1.4104
```

Calculated values
Uncorrected energy ... -106.44 eV per cell
Formation energy from the elements ... -1.526 eV per formula unit
M_tot ... 0.0 μB/f.u.

(6)
A plane-wave DFT calculation with PBE-GGA was carried out for an optimized crystal structure of Ce4BOs2.

Geometry as extended XYZ:
```
14
Lattice="7.2043 -0.8754 -0.1047 -1.3964 7.2080 0.1523 -2.7653 -3.2428 5.8759" Properties=species:S:1:pos:R:3 pbc="T T T"
Os 2.2605 5.2533 1.1107
Os 3.0195 2.2611 1.5990
Os 2.4735 -0.8035 5.1379
Os -1.9566 -0.2649 3.6253
Ce 5.0350 4.1540 1.5770
Ce 0.5958 2.8754 0.7635
Ce 1.8679 -0.3839 2.2016
Ce -0.0429 -2.4164 4.9568
Ce 1.9667 4.0543 3.8639
Ce 5.3726 0.3762 1.3686
Ce 0.3685 1.2932 4.5517
Ce -2.9214 2.3419 4.5028
B 0.2249 0.0680 0.1706
B -0.6375 3.2957 3.1372
```

Calculated values
Uncorrected energy ... -107.09 eV per cell
Formation energy from the elements ... -0.675 eV per formula unit
M_tot ... 0.0 μB/f.u.

(7)
A plane-wave DFT calculation with PBE-GGA was carried out for an optimized crystal structure of CeBOs.

Geometry as extended XYZ:
```
6
Lattice="-3.6082 -0.4381 -1.5867 1.2187 -3.3072 -1.8582 -1.0026 -3.3538 5.3112" Properties=species:S:1:pos:R:3 pbc="T T T"
Os -0.6003 -0.9379 -0.8603
Os -2.7919 -6.1611 2.7265
B -3.1425 -3.9874 2.8998
B -0.2497 -3.1116 -1.0335
Ce -0.4670 -4.7550 1.7488
Ce -2.9252 -2.3440 0.1174
```

Calculated values
Relative energy among the computed polymorphs ... 15 meV/atom
Uncorrected energy ... -49.28 eV per cell
Formation energy from the elements ... -0.800 eV per formula unit
M_tot ... 0.0 μB/f.u.

(8)
A plane-wave DFT calculation with PBE-GGA was carried out for an optimized crystal structure of CeB2Os2.

Geometry as extended XYZ:
```
10
Lattice="5.5939 0.0207 0.0003 -1.6541 5.3438 0.0003 -1.9696 -2.6819 5.0092" Properties=species:S:1:pos:R:3 pbc="T T T"
B 0.6215 3.6725 0.0003
B 1.4480 1.0013 2.5049
B 4.1454 -0.9797 2.5049
B 3.3190 1.6915 0.0003
Ce -1.6536 5.3434 0.0003
Ce -0.8274 2.6724 2.5049
Os 2.7969 0.0113 3.8885
Os 0.0004 -0.0004 3.6259
Os 1.9707 2.6824 1.3839
Os 2.7963 0.0104 1.1213
```

Calculated values
Uncorrected energy ... -88.27 eV per cell
Formation energy from the elements ... -2.388 eV per formula unit
M_tot ... 0.0 μB/f.u.